No. 1
Here is a geometry-optimized NaCd4Cu structure from Alexandria. Energies are from PBE.

Cell lengths 8.952, 3.843, 7.772 Å; angles 90.00, 90.00, 90.00 degrees
Atoms (fractional coordinates):
Na (0.250, 0.000, 0.086)
Na (0.750, 0.000, 0.914)
Cd (0.000, 0.000, 0.500)
Cd (0.055, 0.500, 0.818)
Cd (0.250, 0.500, 0.418)
Cd (0.445, 0.500, 0.818)
Cd (0.500, 0.000, 0.500)
Cd (0.555, 0.500, 0.182)
Cd (0.750, 0.500, 0.582)
Cd (0.945, 0.500, 0.182)
Cu (0.250, 0.000, 0.693)
Cu (0.750, 0.000, 0.307)

* magnetization: 0.000 μB per atom
* formation enthalpy at 0 K: -0.17 eV/f.u.
* DOS(E_F): 0.263 states/eV per atom
* space-group type: No. 51

No. 2
Here is a geometry-optimized Na2CdCu2 structure from Alexandria. Energies are from PBE.

Cell lengths 8.421, 8.421, 2.848 Å; angles 90.00, 90.00, 90.00 degrees
Atoms (fractional coordinates):
Na (0.133, 0.367, 0.000)
Na (0.367, 0.867, 0.000)
Na (0.633, 0.133, 0.000)
Na (0.867, 0.633, 0.000)
Cd (0.000, 0.000, 0.000)
Cd (0.500, 0.500, 0.000)
Cu (0.165, 0.665, 0.500)
Cu (0.335, 0.165, 0.500)
Cu (0.665, 0.835, 0.500)
Cu (0.835, 0.335, 0.500)

* magnetization: 0.000 μB per atom
* formation enthalpy at 0 K: 1.71 eV/f.u.
* DOS(E_F): 0.248 states/eV per atom
* offset from the most stable computed form: 199 meV/atom
* space-group type: No. 127

No. 3
Here is a geometry-optimized NaNdCdCu structure from Alexandria. Energies are from PBE.

Cell lengths 5.144, 5.144, 5.144 Å; angles 60.00, 60.00, 60.00 degrees
Atoms (fractional coordinates):
Na (0.000, 0.000, 0.000)
Nd (0.500, 0.500, 0.500)
Cd (0.250, 0.250, 0.250)
Cu (0.750, 0.750, 0.750)

* magnetization: 0.000 μB per atom
* formation enthalpy at 0 K: -0.03 eV/f.u.
* DOS(E_F): 0.793 states/eV per atom
* space-group type: No. 216

No. 4
Here is a geometry-optimized Na2CdCuO4 structure from Alexandria. Energies are from PBE.

Cell lengths 5.123, 5.123, 5.123 Å; angles 108.31, 108.31, 111.83 degrees
Atoms (fractional coordinates):
Na (0.000, 0.500, 0.500)
Na (0.500, 0.000, 0.500)
Cd (0.000, 0.000, 0.000)
Cu (0.500, 0.500, 0.000)
O (0.126, 0.126, 0.651)
O (0.475, 0.475, 0.349)
O (0.525, 0.874, 0.000)
O (0.874, 0.525, 0.000)

* magnetization: 0.378 μB per atom
* raw total energy: -4.162 eV/atom
* DOS(E_F): 0.108 states/eV per atom
* space-group type: No. 121

No. 5
Here is a geometry-optimized NaCd2CuO4 structure from Alexandria. Energies are from PBE.

Cell lengths 6.353, 6.353, 6.644 Å; angles 116.40, 116.40, 90.27 degrees
Atoms (fractional coordinates):
Na (0.000, 0.000, 0.000)
Na (0.000, 0.000, 0.500)
Cd (0.000, 0.500, 0.000)
Cd (0.500, 0.000, 0.500)
Cd (0.500, 0.500, 0.000)
Cd (0.500, 0.500, 0.500)
Cu (0.000, 0.500, 0.500)
Cu (0.500, 0.000, 0.000)
O (0.165, 0.667, 0.410)
O (0.225, 0.305, 0.525)
O (0.305, 0.225, 0.025)
O (0.333, 0.835, 0.090)
O (0.667, 0.165, 0.910)
O (0.695, 0.775, 0.975)
O (0.775, 0.695, 0.475)
O (0.835, 0.333, 0.590)

* magnetization: 0.000 μB per atom
* raw total energy: -4.299 eV/atom
* DOS(E_F): 0.217 states/eV per atom
* space-group type: No. 15

No. 6
Here is a geometry-optimized Na2CdCuP2 structure from Alexandria. Energies are from PBE.

Cell lengths 8.144, 8.144, 8.144 Å; angles 138.46, 60.67, 137.84 degrees
Atoms (fractional coordinates):
Na (0.180, 0.242, 0.422)
Na (0.320, 0.742, 0.062)
Na (0.680, 0.258, 0.938)
Na (0.820, 0.758, 0.578)
Cd (0.250, 0.250, 0.000)
Cd (0.750, 0.750, 0.000)
Cu (0.250, 0.750, 0.500)
Cu (0.750, 0.250, 0.500)
P (0.108, 0.715, 0.823)
P (0.392, 0.215, 0.607)
P (0.608, 0.785, 0.393)
P (0.892, 0.285, 0.177)

* magnetization: 0.000 μB per atom
* formation enthalpy at 0 K: -1.41 eV/f.u.
* DOS(E_F): 0.271 states/eV per atom
* space-group type: No. 72